Entry from Alexandria via LeMat-Bulk: an optimized crystal structure of CaSnCl6 (PBE).

abc: 7.8458 6.5174 7.0146
angles: 97.55 106.41 126.57
With the nearest neighbours (Å) after each atom.
Atoms (fractional coordinates):
Cl: 0.2600 0.5269 0.0000  1 Sn 2.48, 1 Ca 2.76
Cl: 0.7400 0.4731 0.0000  1 Sn 2.48, 1 Ca 2.76
Cl: 0.4190 0.1462 0.2809  1 Sn 2.48
Cl: 0.1380 0.8652 0.7191  1 Sn 2.48
Cl: 0.8620 0.1348 0.2809  1 Sn 2.48
Cl: 0.5810 0.8538 0.7191  1 Sn 2.48
Sn: 0.5000 0.0000 0.0000  6 Cl 2.48
Ca: 0.0000 0.0000 0.0000  6 Cl 2.76-2.78

Output
ΔE_f (raw)   -1.4327 eV per atom
Offset from the most stable computed form   0.000 eV/atom
Calculated density   2.42 g/cm³
E_tot   -3.568 eV/atom
Size of the total moment   0.0 μB per cell
Density of states at the Fermi level   0.00 states/eV/f.u.